# 1
Material: Hf2SnIr
Method: DFT, PBE-GGA
State: relaxed

Calculated values
The formation energy comes out at -552.4 meV/atom. The density of states at the Fermi level is 3.0 states/eV per cell. The crystal system is tetragonal. The total magnetic moment comes out at 0.00 μB/cell. The density comes out at 14140 kg/m3.

Structure (POSCAR):
```
Hf2SnIr
1.0
3.074 0.000 0.000
0.000 3.074 0.000
0.000 0.000 8.298
Hf Sn Ir
2 1 1
Direct
0.000 0.000 0.219 Hf
0.000 0.000 0.781 Hf
0.500 0.500 0.500 Sn
0.500 0.500 0.000 Ir
```

=====

# 2
Material: Pu6TcOs2
Method: DFT, PBE-GGA
State: relaxed

Calculated values
The formation energy comes out at 191.2 meV/atom. The crystal system is trigonal. The total magnetic moment comes out at 0.00 μB/cell. The density comes out at 21733 kg/m3.

Structure (POSCAR):
```
Pu6TcOs2
1.0
7.642 0.000 0.000
-3.821 6.618 0.000
0.000 0.000 2.935
Pu Tc Os
6 1 2
Direct
0.000 0.327 0.086 Pu
0.000 0.673 0.914 Pu
0.327 0.000 0.086 Pu
0.327 0.327 0.914 Pu
0.673 0.000 0.914 Pu
0.673 0.673 0.086 Pu
0.000 0.000 0.500 Tc
0.333 0.667 0.500 Os
0.667 0.333 0.500 Os
```

=====

# 3
Material: LaCd2InAu4
Method: DFT, PBE-GGA
State: relaxed

Calculated values
The formation energy comes out at -411.5 meV/atom. The density of states at the Fermi level is 2.9 states/eV per cell. The crystal system is trigonal. The total magnetic moment comes out at 0.00 μB/cell. The density comes out at 11790 kg/m3.

Structure (POSCAR):
```
LaCd2InAu4
1.0
2.390 1.380 9.017
-2.390 1.380 9.017
0.000 -2.759 9.017
La Cd In Au
1 2 1 4
Direct
0.000 0.000 0.000 La
0.246 0.246 0.246 Cd
0.754 0.754 0.754 Cd
0.500 0.500 0.500 In
0.126 0.126 0.126 Au
0.391 0.391 0.391 Au
0.609 0.609 0.609 Au
0.874 0.874 0.874 Au
```

=====

# 4
Material: Tm4Fe3C5
Method: DFT, PBE-GGA
State: relaxed

Calculated values
The formation energy comes out at -247.9 meV/atom. The density of states at the Fermi level is 6.2 states/eV per cell. The crystal system is monoclinic. The total magnetic moment comes out at 2.65 μB/cell. The density comes out at 8640 kg/m3.

Structure (POSCAR):
```
Tm4Fe3C5
1.0
5.535 -1.843 0.000
5.535 1.843 0.000
-4.028 0.000 8.509
Tm Fe C
4 3 5
Direct
0.105 0.105 0.397 Tm
0.255 0.255 0.831 Tm
0.745 0.745 0.169 Tm
0.895 0.895 0.603 Tm
0.000 0.000 0.000 Fe
0.456 0.456 0.166 Fe
0.544 0.544 0.834 Fe
0.314 0.314 0.391 C
0.397 0.397 0.318 C
0.500 0.500 0.000 C
0.603 0.603 0.682 C
0.686 0.686 0.609 C
```

=====

Question: Look up the formation energy of the second one.
Answer: 191.2 meV/atom